DFT (PBE-GGA) results for an optimized crystal structure of La2DyTi.

The calculation puts the energy above the most stable polymorph in this dataset at 0.048 eV per atom. For the density of states at the Fermi level, the calculation gives 1.49 states/eV/atom. For the volume, the calculation gives 353.9 Å³ per cell. Its total energy is -21.4 eV per formula unit. The value obtained for the calculated formation energy is 248.2 meV/atom.

The space group is R-3m (No. 166, hexagonal axes) and the conventional cell measures 3.5252, 3.5252 and 32.8812 Å, with angles of 90.00, 90.00 and 120.00 degrees. Symmetry generates all atoms from La at (0.0000, 0.0000, 0.2420), Dy at (0.0000, 0.0000, 0.0000) and Ti at (0.0000, 0.0000, 0.5000).

DFT (PBE-GGA) results for an optimized crystal structure of GdPuGaPt.

For the density of states at the Fermi level, the calculation gives 2.43 states/eV/atom. For the volume, the calculation gives 363.3 Å³ per cell. Its total energy is -40.0 eV per formula unit. The value obtained for the calculated formation energy is -622.0 meV/atom.

The space group is F-43m (No. 216) and the conventional cell measures 7.136, 7.136 and 7.136 Å, with angles of 90.00, 90.00 and 90.00 degrees. Symmetry generates all atoms from Gd at (0.000, 0.000, 0.000), Pu at (0.000, 0.000, 0.500), Ga at (0.250, 0.250, 0.250) and Pt at (0.250, 0.250, 0.750).

DFT (PBE-GGA) results for an optimized crystal structure of Ba3GeBr.

The value obtained for the formation energy from raw total energies is -0.90 eV per atom. The calculation puts the energy above the most stable polymorph in this dataset at 0.017 eV per atom. For the density of states at the Fermi level, the calculation gives 0.16 states/eV/atom. For the volume, the calculation gives 1661.0 Å³ per cell. Its total energy is -16.6 eV per formula unit.

The space group is C2/c (No. 15) and the conventional cell measures 12.885, 13.757 and 9.371 Å, with angles of 90.00, 90.00 and 90.00 degrees. Symmetry generates all atoms from Ba at (0.092, 0.102, 0.425), Ba at (0.112, 0.410, 0.582), Ba at (0.247, 0.171, 0.824), Ge at (0.234, 0.050, 0.134), Br at (0.000, 0.210, 0.750) and Br at (0.000, 0.321, 0.250).

DFT (PBE-GGA) results for an optimized crystal structure of ZrCl.

The value obtained for the formation energy from raw total energies is -0.31 eV per atom. For the density of states at the Fermi level, the calculation gives 1.21 states/eV/atom. For the volume, the calculation gives 159.8 Å³ per cell. Its total energy is -11.0 eV per formula unit.

The space group is I4_1/amd (No. 141, origin choice 2) and the conventional cell measures 3.699, 3.699 and 11.675 Å, with angles of 90.00, 90.00 and 90.00 degrees. Symmetry generates all atoms from Zr at (0.000, 0.250, 0.375) and Cl at (0.000, 0.250, 0.875).

Repeat the second record exactly.
DFT (PBE-GGA) results for an optimized crystal structure of GdPuGaPt.

For the density of states at the Fermi level, the calculation gives 2.43 states/eV/atom. For the volume, the calculation gives 363.3 Å³ per cell. Its total energy is -40.0 eV per formula unit. The value obtained for the calculated formation energy is -622.0 meV/atom.

The space group is F-43m (No. 216) and the conventional cell measures 7.136, 7.136 and 7.136 Å, with angles of 90.00, 90.00 and 90.00 degrees. Symmetry generates all atoms from Gd at (0.000, 0.000, 0.000), Pu at (0.000, 0.000, 0.500), Ga at (0.250, 0.250, 0.250) and Pt at (0.250, 0.250, 0.750).

Question: Look up the volume of the third one.
Answer: 1661.0 Å³ per cell

Question: Which value of volume does entry 3 give?
Answer: 1661.0 Å³ per cell